(1)
First-principles (PBE-GGA) data for an optimized crystal structure of La2Te4Pb, as listed in Alexandria via LeMat-Bulk.

Properties
Crystal system = tetragonal
Formation energy (no corrections) = -1.235 eV per atom

Cell: 9.7472 9.7472 9.7661 Å, 90.00 90.00 90.00°
Closest atoms and distances in Å follow each position.
Space group I-42d (No. 122)
Inequivalent atoms, fractional coordinates:
La: 0.1321 0.2500 0.1250 (multiplicity 8)  8 Te 3.27-3.50
Te: 0.0752 0.1738 0.8042 (multiplicity 16)  4 La 3.27-3.50, 2 Pb 3.31-3.50
Pb: 0.0000 0.0000 0.5000 (multiplicity 4)  8 Te 3.31-3.50


(2)
First-principles (PBE-GGA) data for an optimized crystal structure of ZrAsRh2, as listed in Alexandria via LeMat-Bulk.

Properties
Crystal system = trigonal
DOS(E_F) = 0.586 states/eV per atom
E_form = -0.185 eV/atom

Cell: 3.0586 3.0586 25.1955 Å, 90.00 90.00 120.00°
Closest atoms and distances in Å follow each position.
Space group R3m (No. 160, hexagonal axes)
Inequivalent atoms, fractional coordinates:
Zr: 0.0000 0.0000 0.0000 (multiplicity 3)  3 Rh 2.73, 3 As 2.93
As: 0.0000 0.0000 0.7594 (multiplicity 3)  3 Rh 2.46
Rh: 0.0000 0.0000 0.2509 (multiplicity 3)  3 Zr 2.73, 3 Rh 2.88
Rh: 0.0000 0.0000 0.4940 (multiplicity 3)  3 As 2.46


(3)
First-principles (PBE-GGA) data for an optimized crystal structure of TiCu2N, as listed in Alexandria via LeMat-Bulk.

Properties
Crystal system = tetragonal
Formation energy (no corrections) = 0.038 eV per atom
DOS(E_F) = 1.038 states/eV per atom

Cell: 6.9327 6.9327 4.0686 Å, 90.00 90.00 90.00°
Closest atoms and distances in Å follow each position.
Space group I-42d (No. 122)
Inequivalent atoms, fractional coordinates:
Ti: 0.0000 0.0000 0.0000 (multiplicity 4)  2 N 2.03
Cu: 0.1580 0.2500 0.6250 (multiplicity 8)  2 N 2.11
N: 0.0000 0.0000 0.5000 (multiplicity 4)  2 Ti 2.03, 4 Cu 2.11


(4)
First-principles (PBE-GGA) data for an optimized crystal structure of SbW2N, as listed in Alexandria via LeMat-Bulk.

Properties
Crystal system = cubic
Formation energy (no corrections) = 1.390 eV per atom
Distance to the lowest polymorph of the same formula = 0.8044 eV/atom
DOS(E_F) = 1.267 states/eV per atom

Cell: 6.2466 6.2466 6.2466 Å, 90.00 90.00 90.00°
Closest atoms and distances in Å follow each position.
Space group Fm-3m (No. 225)
Inequivalent atoms, fractional coordinates:
Sb: 0.0000 0.0000 0.0000 (multiplicity 4)  8 W 2.70
W: 0.2500 0.2500 0.2500 (multiplicity 8)  4 Sb 2.70, 4 N 2.70
N: 0.0000 0.0000 0.5000 (multiplicity 4)  8 W 2.70


(5)
First-principles (PBE-GGA) data for an optimized crystal structure of PrMgCuPd, as listed in Alexandria via LeMat-Bulk.

Properties
Crystal system = monoclinic
DOS(E_F) = 0.558 states/eV per atom
E_form = -0.460 eV/atom

Cell: 7.9046 4.5693 5.3882 Å, 90.00 119.18 90.00°
Closest atoms and distances in Å follow each position.
Space group Cm (No. 8)
Inequivalent atoms, fractional coordinates:
Pr: 0.0000 0.0000 0.0000 (multiplicity 2)  4 Cu 2.96-3.16, 4 Pd 2.98-3.15
Mg: 0.4982 0.0000 0.4946 (multiplicity 2)  3 Pd 2.70-2.71, 3 Cu 2.71
Cu: 0.2097 0.0000 0.6300 (multiplicity 2)  3 Mg 2.71, 3 Pd 2.91-2.92, 1 Pr 2.96
Pd: 0.2886 0.5000 0.3656 (multiplicity 2)  3 Mg 2.70-2.71, 3 Cu 2.91-2.92, 1 Pr 2.98


(6)
First-principles (PBE-GGA) data for an optimized crystal structure of BaCd3F8, as listed in Alexandria via LeMat-Bulk.

Properties
Crystal system = trigonal
Formation energy (no corrections) = -2.398 eV per atom
DOS(E_F) = 0.000 states/eV per atom

Cell: 5.7615 5.7615 7.0190 Å, 90.00 90.00 120.00°
Closest atoms and distances in Å follow each position.
Space group P-3 (No. 147)
Inequivalent atoms, fractional coordinates:
Ba: 0.0000 0.0000 0.0000 (multiplicity 1)  12 F 3.03-3.39
Cd: 0.0000 0.0000 0.5000 (multiplicity 1)  6 F 2.20
Cd: 0.3333 0.6667 0.6002 (multiplicity 2)  4 F 2.16-2.32
F: 0.0741 0.3574 0.3379 (multiplicity 6)  2 Cd 2.20-2.32
F: 0.3333 0.6667 0.9078 (multiplicity 2)  1 Cd 2.16


(7)
First-principles (PBE-GGA) data for an optimized crystal structure of Li4CuP, as listed in Alexandria via LeMat-Bulk.

Properties
Crystal system = cubic
DOS(E_F) = 0.305 states/eV per atom
E_form = 0.076 eV/atom

Cell: 6.8999 6.8999 6.8999 Å, 90.00 90.00 90.00°
Closest atoms and distances in Å follow each position.
Space group F-43m (No. 216)
Inequivalent atoms, fractional coordinates:
Li: 0.1244 0.1244 0.1244 (multiplicity 16)  6 Li 2.43-2.45
Cu: 0.0000 0.0000 0.5000 (multiplicity 4)  12 Li 2.86, 4 P 2.99
P: 0.2500 0.2500 0.7500 (multiplicity 4)  12 Li 2.86, 4 Cu 2.99


(8)
First-principles (PBE-GGA) data for an optimized crystal structure of Nb2InN, as listed in Alexandria via LeMat-Bulk.

Properties
Crystal system = cubic
Formation energy (no corrections) = 0.968 eV per atom
DOS(E_F) = 0.809 states/eV per atom

Cell: 6.3679 6.3679 6.3679 Å, 90.00 90.00 90.00°
Closest atoms and distances in Å follow each position.
Space group Fm-3m (No. 225)
Inequivalent atoms, fractional coordinates:
Nb: 0.2500 0.2500 0.2500 (multiplicity 8)  4 N 2.76, 4 In 2.76
In: 0.0000 0.0000 0.0000 (multiplicity 4)  8 Nb 2.76
N: 0.0000 0.0000 0.5000 (multiplicity 4)  8 Nb 2.76


(9)
First-principles (PBE-GGA) data for an optimized crystal structure of PuUNb, as listed in Alexandria via LeMat-Bulk.

Properties
Crystal system = tetragonal
Distance to the lowest polymorph of the same formula = 0.0441 eV/atom
DOS(E_F) = 2.398 states/eV per atom
E_form = 0.183 eV/atom

Cell: 3.4140 3.4140 10.2574 Å, 90.00 90.00 90.00°
Closest atoms and distances in Å follow each position.
Space group I4mm (No. 107)
Inequivalent atoms, fractional coordinates:
Pu: 0.0000 0.0000 0.0000 (multiplicity 2)  4 U 2.82, 4 Nb 3.07
U: 0.0000 0.0000 0.6421 (multiplicity 2)  4 Pu 2.82, 4 Nb 3.00
Nb: 0.0000 0.0000 0.3151 (multiplicity 2)  5 U 3.00-3.35, 5 Pu 3.07-3.23


(10)
First-principles (PBE-GGA) data for an optimized crystal structure of CuSeBr2, as listed in Alexandria via LeMat-Bulk.

Properties
Crystal system = monoclinic
Formation energy (no corrections) = -0.166 eV per atom
Distance to the lowest polymorph of the same formula = 0.0000 eV/atom
DOS(E_F) = 0.649 states/eV per atom

Cell: 7.1215 3.7331 8.5549 Å, 90.00 93.20 90.00°
Closest atoms and distances in Å follow each position.
Space group Cm (No. 8)
Inequivalent atoms, fractional coordinates:
Cu: 0.0000 0.0000 0.0000 (multiplicity 2)  3 Se 2.46-2.57, 2 Br 2.48
Se: 0.3211 0.0000 0.8767 (multiplicity 2)  1 Br 2.38, 3 Cu 2.46-2.57
Br: 0.0275 0.5000 0.1903 (multiplicity 2)  2 Cu 2.48
Br: 0.2318 0.0000 0.6047 (multiplicity 2)  1 Se 2.38


(11)
First-principles (PBE-GGA) data for an optimized crystal structure of HgMo2Pb, as listed in Alexandria via LeMat-Bulk.

Properties
Crystal system = tetragonal
Distance to the lowest polymorph of the same formula = 0.7902 eV/atom
DOS(E_F) = 0.894 states/eV per atom
E_form = 1.186 eV/atom

Cell: 7.6943 7.6943 5.7082 Å, 90.00 90.00 90.00°
Closest atoms and distances in Å follow each position.
Space group I-42d (No. 122)
Inequivalent atoms, fractional coordinates:
Hg: 0.0000 0.0000 0.0000 (multiplicity 4)  4 Mo 2.81, 2 Pb 2.85
Mo: 0.2493 0.2500 0.1250 (multiplicity 8)  2 Hg 2.81, 2 Pb 2.82, 2 Mo 2.85
Pb: 0.0000 0.0000 0.5000 (multiplicity 4)  4 Mo 2.82, 2 Hg 2.85


(12)
First-principles (PBE-GGA) data for an optimized crystal structure of Ca2HgPbS, as listed in Alexandria via LeMat-Bulk.

Properties
Crystal system = tetragonal
Formation energy (no corrections) = -0.070 eV per atom
DOS(E_F) = 0.489 states/eV per atom

Cell: 6.0021 6.0021 5.3429 Å, 90.00 90.00 90.00°
Closest atoms and distances in Å follow each position.
Space group P4/mmm (No. 123)
Inequivalent atoms, fractional coordinates:
Ca: 0.0000 0.5000 0.0000 (multiplicity 2)  2 Pb 3.00
Hg: 0.0000 0.0000 0.5000 (multiplicity 1)  2 Pb 2.67
Pb: 0.0000 0.0000 0.0000 (multiplicity 1)  2 Hg 2.67
S: 0.5000 0.5000 0.5000 (multiplicity 1)  8 Ca 4.02, 4 Hg 4.24


| no. | E (eV/atom) |
| --- | --- |
| 1 | -4.968 |
| 2 | -7.160 |
| 3 | -6.065 |
| 4 | -8.198 |
| 5 | -4.376 |
| 6 | -4.034 |
| 7 | -2.784 |
| 8 | -6.833 |
| 9 | -11.714 |
| 10 | -2.898 |
| 11 | -5.232 |
| 12 | -2.498 |